A relaxed RbTaTlOs2 crystal. Source: the Alexandria database, functional PBE.

Calculated values
ΔE_f	14.03	eV/f.u.
energy	-23.6	eV/cell

abc: 5.1293 5.1293 5.1836
angles: 90.00 90.00 90.00
Space group P4/mmm (No. 123)
One atom of each set of equivalent atoms:
Rb 0.0000 0.0000 0.0000 [1 per cell]
Ta 0.5000 0.5000 0.0000 [1 per cell]
Tl 0.5000 0.5000 0.5000 [1 per cell]
Os 0.0000 0.5000 0.5000 [2 per cell]